No. 1
# Zr2Si2TeSe (PBE, optimized geometry)
data_Zr2Si2TeSe
_chemical_formula_sum 'Zr2 Si2 Te1 Se1'
_cell_length_a 3.648
_cell_length_b 3.648
_cell_length_c 9.302
_cell_angle_alpha 90.00
_cell_angle_beta 90.00
_cell_angle_gamma 90.00
_symmetry_space_group_name_H-M 'P 4 m m'
_symmetry_Int_Tables_number 99
_symmetry_space_group_name_Hall 'P 4 -2'
loop_
_atom_site_label
_atom_site_fract_x
_atom_site_fract_y
_atom_site_fract_z
_atom_site_occupancy
Zr1 0.000 0.000 0.000 1
Zr2 0.500 0.500 0.462 1
Si1 0.000 0.500 0.229 1
Te1 0.500 0.500 0.851 1
Se1 0.000 0.000 0.574 1
# **Volume**: 123.8 Å³/cell
# **Calculated total energy**: -6.695 eV/atom

No. 2
# ErHfPa (PBE, optimized geometry)
data_ErHfPa
_chemical_formula_sum 'Er4 Hf4 Pa4'
_cell_length_a 7.093
_cell_length_b 7.093
_cell_length_c 7.093
_cell_angle_alpha 90.00
_cell_angle_beta 90.00
_cell_angle_gamma 90.00
_symmetry_space_group_name_H-M 'F -4 3 m'
_symmetry_Int_Tables_number 216
_symmetry_space_group_name_Hall 'F -4 2 3'
loop_
_atom_site_label
_atom_site_fract_x
_atom_site_fract_y
_atom_site_fract_z
_atom_site_occupancy
Er1 0.000 0.000 0.000 1
Hf1 0.250 0.250 0.250 1
Pa1 0.000 0.000 0.500 1
# **Calculated formation energy**: 0.90 eV per atom
# **ΔE to the lowest computed polymorph**: 0.000 eV per atom
# **Volume**: 356.9 Å³/cell

No. 3
# ErSi2AgOs (PBE, optimized geometry)
data_ErSi2AgOs
_chemical_formula_sum 'Er2 Si4 Ag2 Os2'
_cell_length_a 4.109
_cell_length_b 4.109
_cell_length_c 10.161
_cell_angle_alpha 90.00
_cell_angle_beta 90.00
_cell_angle_gamma 90.00
_symmetry_space_group_name_H-M 'I -4 m 2'
_symmetry_Int_Tables_number 119
_symmetry_space_group_name_Hall 'I -4 -2'
loop_
_atom_site_label
_atom_site_fract_x
_atom_site_fract_y
_atom_site_fract_z
_atom_site_occupancy
Er1 0.000 0.000 0.000 1
Si1 0.000 0.000 0.385 1
Ag1 0.000 0.500 0.750 1
Os1 0.000 0.500 0.250 1
# **Volume**: 171.6 Å³/cell
# **Calculated total energy**: -6.283 eV/atom

No. 4
# Sc2Co2Si (PBE, optimized geometry)
data_Sc2Co2Si
_chemical_formula_sum 'Sc4 Co4 Si2'
_cell_length_a 3.608
_cell_length_b 3.608
_cell_length_c 12.026
_cell_angle_alpha 90.00
_cell_angle_beta 90.00
_cell_angle_gamma 90.00
_symmetry_space_group_name_H-M 'I 4/m m m'
_symmetry_Int_Tables_number 139
_symmetry_space_group_name_Hall '-I 4 2'
loop_
_atom_site_label
_atom_site_fract_x
_atom_site_fract_y
_atom_site_fract_z
_atom_site_occupancy
Sc1 0.000 0.000 0.109 1
Co1 0.000 0.500 0.250 1
Si1 0.000 0.000 0.500 1
# **Volume**: 156.5 Å³/cell
# **Calculated total energy**: -6.299 eV/atom